1.
First-principles (PBE-GGA) data for a relaxed BaNaTl2Pd crystal, as listed in Alexandria.

Lattice parameters (Å, degrees): 5.386 5.386 5.432 90.00 90.00 90.00
Fractional positions:
Ba (0.000, 0.000, 0.000)
Na (0.500, 0.500, 0.000)
Tl (0.000, 0.500, 0.500)
Tl (0.500, 0.000, 0.500)
Pd (0.500, 0.500, 0.500)

Properties
Mass density = 7.12 Mg/m³
Space group = P4/mmm
DFT formation energy = -0.222 eV/atom
Volume = 157.6 Å³ per cell
Total moment = 0.0000 μB/atom
Excess energy over the best structure of this formula in the dataset = 91 meV per atom



2.
First-principles (PBE-GGA) data for a relaxed PmPrPb2 crystal, as listed in Alexandria.

Lattice parameters (Å, degrees): 5.116 5.116 4.611 90.00 90.00 90.00
Fractional positions:
Pm (0.000, 0.000, 0.000)
Pr (0.500, 0.500, 0.000)
Pb (0.000, 0.500, 0.500)
Pb (0.500, 0.000, 0.500)

Properties
Mass density = 9.63 Mg/m³
Space group = P4/mmm
DFT formation energy = -0.514 eV/atom
Volume = 120.7 Å³ per cell
Total moment = 0.0010 μB/atom



3.
First-principles (PBE-GGA) data for a relaxed Tb2PmDy6Ho3 crystal, as listed in Alexandria.

Lattice parameters (Å, degrees): 6.144 6.144 11.759 94.97 94.97 119.96
Fractional positions:
Tb (0.167, 0.833, 0.000)
Tb (0.833, 0.167, 0.000)
Pm (0.500, 0.500, 0.000)
Dy (0.082, 0.415, 0.748)
Dy (0.251, 0.251, 0.252)
Dy (0.415, 0.082, 0.748)
Dy (0.585, 0.918, 0.252)
Dy (0.749, 0.749, 0.748)
Dy (0.918, 0.585, 0.252)
Ho (0.000, 0.000, 0.500)
Ho (0.333, 0.667, 0.500)
Ho (0.667, 0.333, 0.500)

Properties
Mass density = 8.47 Mg/m³
Space group = C2/m
DFT formation energy = 0.016 eV/atom
Volume = 378.8 Å³ per cell
Total moment = 0.0000 μB/atom



4.
First-principles (PBE-GGA) data for a relaxed LaErRh2 crystal, as listed in Alexandria.

Lattice parameters (Å, degrees): 3.441 3.441 7.189 90.00 90.00 90.00
Fractional positions:
La (0.000, 0.000, 0.000)
Er (0.000, 0.000, 0.500)
Rh (0.500, 0.500, 0.271)
Rh (0.500, 0.500, 0.729)

Properties
Mass density = 9.99 Mg/m³
Space group = P4/mmm
DFT formation energy = -0.766 eV/atom
Volume = 85.1 Å³ per cell
Total moment = 0.0002 μB/atom



5.
First-principles (PBE-GGA) data for a relaxed NdSb2Pd4Pt crystal, as listed in Alexandria.

Lattice parameters (Å, degrees): 8.778 8.778 8.778 30.55 30.55 30.55
Fractional positions:
Nd (0.000, 0.000, 0.000)
Sb (0.243, 0.243, 0.243)
Sb (0.757, 0.757, 0.757)
Pd (0.131, 0.131, 0.131)
Pd (0.393, 0.393, 0.393)
Pd (0.607, 0.607, 0.607)
Pd (0.869, 0.869, 0.869)
Pt (0.500, 0.500, 0.500)

Properties
Mass density = 10.81 Mg/m³
Space group = R-3m
Volume = 154.9 Å³ per cell
Total moment = 0.0000 μB/atom
ΔE_f (raw) = -0.492 eV/atom



6.
First-principles (PBE-GGA) data for a relaxed CeGa5Ni2Pd crystal, as listed in Alexandria.

Lattice parameters (Å, degrees): 4.668 4.668 7.110 90.00 90.00 90.00
Fractional positions:
Ce (0.000, 0.000, 0.000)
Ga (0.000, 0.500, 0.303)
Ga (0.000, 0.500, 0.697)
Ga (0.500, 0.000, 0.303)
Ga (0.500, 0.000, 0.697)
Ga (0.500, 0.500, 0.000)
Ni (0.500, 0.500, 0.323)
Ni (0.500, 0.500, 0.677)
Pd (0.000, 0.000, 0.500)

Properties
Mass density = 7.64 Mg/m³
Space group = P4/mmm
DFT formation energy = -0.347 eV/atom
Volume = 154.9 Å³ per cell
Total moment = 0.1065 μB/atom